Record 1
La2SmTl3Se6, optimized geometry, DFT PBE; total DFT energy (no corrections) = -59.78 eV/cell; volume = 384 Å³ per cell; density of states at the Fermi level = 0.000 states/eV/cell
1.0
7.5771 0.0006 0.0006
-3.7862 6.5634 0.0006
-1.2638 -2.1882 7.7161
Se La Tl Sm
6 2 3 1
direct
0.6033 0.9299 0.7901
0.3967 0.0701 0.2099
0.9299 0.6033 0.7901
0.2561 0.2561 0.7885
0.7439 0.7439 0.2115
0.0701 0.3967 0.2099
0.3334 0.6666 0.0000
0.6666 0.3334 0.0000
0.8329 0.1671 0.5000
0.5000 0.5000 0.5000
0.1671 0.8329 0.5000
0.0000 0.0000 0.0000

***

Record 2
LaSm3Tl4Se8, optimized geometry, DFT PBE; total DFT energy (no corrections) = -78.85 eV/cell; volume = 499 Å³ per cell
1.0
-1.2693 -7.8505 3.3348
3.9781 -3.7835 -7.3925
4.4788 5.8920 4.4257
La Se Sm Tl
1 8 3 4
direct
0.0000 0.5000 0.0000
0.7306 0.7097 0.9703
0.2397 0.7097 0.9703
0.2639 0.2920 0.5278
0.7603 0.2903 0.5207
0.7361 0.7080 0.4722
0.2694 0.2903 0.0297
0.7603 0.2903 0.0297
0.2397 0.7097 0.4793
0.5000 0.5000 0.5000
0.0000 0.5000 0.5000
0.5000 0.5000 0.0000
0.0000 0.0000 0.5000
0.5000 0.0000 0.0000
0.0000 0.0000 0.0000
0.5000 0.0000 0.5000

***

Record 3
LaSmTl2Se4, optimized geometry, DFT PBE; total DFT energy (no corrections) = -39.67 eV/cell; volume = 253 Å³ per cell; density of states at the Fermi level = 0.000 states/eV/cell
1.0
-2.8636 0.9736 -3.1252
-3.3584 -6.6706 0.9993
-3.5700 5.3704 4.9442
Se La Tl Sm
4 1 2 1
direct
0.0000 0.2568 0.7891
0.5000 0.2304 0.2090
0.0000 0.7432 0.2109
0.5000 0.7696 0.7910
0.5000 0.5000 0.0000
0.0000 0.5000 0.5000
0.5000 0.0000 0.5000
0.0000 0.0000 0.0000

***

Record 4
LaSm2TmSe5, optimized geometry, DFT PBE; total DFT energy (no corrections) = -48.24 eV/cell; volume = 285 Å³ per cell; density of states at the Fermi level = 7.433 states/eV/cell
1.0
-4.6408 1.6525 -1.2868
-1.9086 -2.0486 4.2525
1.8636 9.4184 5.3738
Se La Sm Tm
5 1 2 1
direct
0.5000 0.5000 0.0000
0.0000 0.0000 0.7469
0.0000 0.0000 0.2531
0.5000 0.0000 0.5000
0.0000 0.5000 0.5000
0.0000 0.0000 0.0000
0.5000 0.5000 0.3364
0.5000 0.5000 0.6636
0.0000 0.0000 0.5000

***

Record 5
LaSm2TmSe6, optimized geometry, DFT PBE; total DFT energy (no corrections) = -58.44 eV/cell; volume = 309 Å³ per cell; density of states at the Fermi level = 0.000 states/eV/cell
1.0
-0.5563 -6.6670 3.1278
5.9481 -3.1734 3.0156
0.3857 -0.4679 7.7943
Se La Tm Sm
6 1 1 2
direct
0.1015 0.4300 0.7504
0.4299 0.7182 0.7502
0.7183 0.1015 0.7503
0.2141 0.9031 0.2536
0.6290 0.2141 0.2537
0.9032 0.6291 0.2538
0.3123 0.3122 0.0632
0.8194 0.8195 0.5416
0.0194 0.0195 0.9417
0.5145 0.5144 0.4568

***

Record 6
LaSmTm2Se4, optimized geometry, DFT PBE; total DFT energy (no corrections) = -46.86 eV/cell; volume = 199 Å³ per cell; density of states at the Fermi level = 3.797 states/eV/cell
1.0
4.0467 0.0000 0.0000
0.0000 7.3697 -0.2696
0.0000 2.4706 6.5947
Sm Se Tm La
1 4 2 1
direct
0.0000 0.5000 0.5000
0.0000 0.7720 0.7387
0.5000 0.7689 0.2471
0.0000 0.2280 0.2613
0.5000 0.2311 0.7529
0.0000 0.0000 0.0000
0.5000 0.0000 0.5000
0.5000 0.5000 0.0000

***

Record 7
LaSm3Tm2Se6, optimized geometry, DFT PBE; total DFT energy (no corrections) = -70.47 eV/cell; volume = 302 Å³ per cell; density of states at the Fermi level = 5.814 states/eV/cell
1.0
-4.0093 -5.8459 -1.1594
7.1425 -0.3222 -0.6878
-0.4964 0.3906 7.1649
Se Sm Tm La
6 3 2 1
direct
0.4307 0.0816 0.2457
0.5693 0.9184 0.7543
0.2698 0.2698 0.7628
0.0816 0.4307 0.2457
0.9184 0.5693 0.7543
0.7302 0.7302 0.2372
0.8422 0.1578 0.5000
0.5000 0.5000 0.5000
0.1578 0.8422 0.5000
0.6669 0.3331 0.0000
0.3331 0.6669 0.0000
0.0000 0.0000 0.0000

***

Record 8
La2SmTmSe4, optimized geometry, DFT PBE; total DFT energy (no corrections) = -47.96 eV/cell; volume = 210 Å³ per cell; density of states at the Fermi level = 5.006 states/eV/cell
1.0
-2.9655 -0.9656 2.7271
5.0518 -2.1936 4.7167
-1.3218 7.1841 1.1065
Tm Sm Se La
1 1 4 2
direct
0.0000 0.0000 0.0000
0.5000 0.5000 0.0000
0.5000 0.7641 0.7705
0.0000 0.2481 0.7654
0.0000 0.7519 0.2346
0.5000 0.2359 0.2295
0.5000 0.0000 0.5000
0.0000 0.5000 0.5000

***

Record 9
La2SmTm3Se6, optimized geometry, DFT PBE; total DFT energy (no corrections) = -70.60 eV/cell; volume = 301 Å³ per cell; density of states at the Fermi level = 5.176 states/eV/cell
1.0
-2.3115 1.5369 -2.9748
4.5252 -4.2601 -5.7171
-5.6528 -6.3309 3.9040
Tm Se La Sm
3 6 2 1
direct
0.8323 0.1671 0.6645
0.5000 0.5000 0.0000
0.1677 0.8329 0.3355
0.6614 0.5964 0.3227
0.9937 0.2577 0.9873
0.0063 0.7423 0.0127
0.3386 0.4036 0.6773
0.6694 0.0667 0.3388
0.3306 0.9333 0.6612
0.8342 0.6684 0.6684
0.1658 0.3316 0.3316
0.5000 0.0000 0.0000

***

Record 10
La2SmTmSe5, optimized geometry, DFT PBE; total DFT energy (no corrections) = -49.65 eV/cell; volume = 280 Å³ per cell; density of states at the Fermi level = 7.172 states/eV/cell
1.0
5.0724 0.0000 0.0000
0.0000 5.0724 0.0000
0.0000 0.0000 10.8672
Se La Sm Tm
5 2 1 1
direct
0.0000 0.5000 0.5000
0.0000 0.0000 0.7508
0.5000 0.0000 0.5000
0.5000 0.5000 0.0000
0.0000 0.0000 0.2492
0.5000 0.5000 0.3055
0.5000 0.5000 0.6945
0.0000 0.0000 0.0000
0.0000 0.0000 0.5000

***

Record 11
LaSmY2Se4, optimized geometry, DFT PBE; total DFT energy (no corrections) = -51.22 eV/cell; volume = 204 Å³ per cell; density of states at the Fermi level = 4.936 states/eV/cell
1.0
4.1100 0.0000 0.0000
0.0000 7.3141 -0.2104
0.0000 2.5100 6.7262
Y Se Sm La
2 4 1 1
direct
0.5000 0.0000 0.5000
0.0000 0.0000 0.0000
0.5000 0.7615 0.2501
0.0000 0.7649 0.7407
0.5000 0.2385 0.7499
0.0000 0.2351 0.2593
0.0000 0.5000 0.5000
0.5000 0.5000 0.0000

***

Record 12
La4SmY3Se8, optimized geometry, DFT PBE; total DFT energy (no corrections) = -101.97 eV/cell; volume = 422 Å³ per cell; density of states at the Fermi level = 10.691 states/eV/cell
1.0
8.3909 0.0000 0.0000
0.0000 8.4517 0.0373
-4.1954 -4.1913 5.9373
Se Y La Sm
8 3 4 1
direct
0.7532 0.2656 0.5064
0.2468 0.7344 0.4936
0.7533 0.2655 0.0123
0.2561 0.2682 0.5123
0.7410 0.7345 0.9877
0.2590 0.2655 0.0123
0.2467 0.7345 0.9877
0.7439 0.7318 0.4877
0.5000 0.5000 0.5000
0.0000 0.5000 0.5000
0.5000 0.5000 0.0000
0.0000 0.0000 0.0000
0.5000 0.0000 0.0000
0.5000 0.0000 0.5000
0.0000 0.0000 0.5000
0.0000 0.5000 0.0000

***

Record 13
La3SmY2Se6, optimized geometry, DFT PBE; total DFT energy (no corrections) = -76.13 eV/cell; volume = 317 Å³ per cell; density of states at the Fermi level = 6.471 states/eV/cell
1.0
-4.7568 -5.1007 -2.0667
7.1474 -1.2974 -0.3831
-0.9105 -0.3723 7.2788
Y Se La Sm
2 6 3 1
direct
0.3334 0.6666 0.0000
0.6666 0.3334 0.0000
0.4167 0.0784 0.2354
0.0784 0.4167 0.2354
0.2607 0.2607 0.7667
0.7393 0.7393 0.2333
0.9216 0.5833 0.7646
0.5833 0.9216 0.7646
0.5000 0.5000 0.5000
0.1643 0.8357 0.5000
0.8357 0.1643 0.5000
0.0000 0.0000 0.0000

***

Record 14
LaSm3Y3Se8, optimized geometry, DFT PBE; total DFT energy (no corrections) = -94.26 eV/cell; volume = 398 Å³ per cell; density of states at the Fermi level = 7.031 states/eV/cell
1.0
-3.4140 -5.7906 4.7912
6.7827 -1.7331 -4.3728
0.4631 5.0977 6.4910
La Se Sm Y
1 8 3 3
direct
0.0000 0.0000 0.5000
0.2524 0.5048 0.2573
0.2596 0.9949 0.7546
0.7353 0.9949 0.7546
0.2597 0.5194 0.7546
0.7404 0.0051 0.2454
0.7476 0.4952 0.7427
0.2647 0.0051 0.2454
0.7403 0.4807 0.2454
0.0000 0.5000 0.0000
0.5000 0.5000 0.0000
0.0000 0.0000 0.0000
0.5000 0.0000 0.5000
0.5000 0.5000 0.5000
0.0000 0.5000 0.5000

***

Record 15
La3SmY3Se8, optimized geometry, DFT PBE; total DFT energy (no corrections) = -95.62 eV/cell; volume = 415 Å³ per cell; density of states at the Fermi level = 7.879 states/eV/cell
1.0
8.3113 0.0000 0.0000
-4.1556 7.1983 -0.0252
0.0000 -4.7739 6.9475
Se La Y Sm
8 3 3 1
direct
0.2514 0.9885 0.7399
0.2515 0.5031 0.7401
0.2629 0.0115 0.2601
0.7485 0.4969 0.2599
0.2558 0.5116 0.2670
0.7486 0.0115 0.2601
0.7371 0.9885 0.7399
0.7442 0.4884 0.7330
0.5000 0.5000 0.0000
0.0000 0.0000 0.0000
0.0000 0.5000 0.0000
0.5000 0.5000 0.5000
0.0000 0.5000 0.5000
0.5000 0.0000 0.5000
0.0000 0.0000 0.5000

***

Record 16
LaSm3Y2Se6, optimized geometry, DFT PBE; total DFT energy (no corrections) = -74.88 eV/cell; volume = 307 Å³ per cell; density of states at the Fermi level = 5.984 states/eV/cell
1.0
7.2299 -0.0150 -0.0038
-3.6262 6.2548 -0.0038
-1.2055 -2.0874 6.8032
Se Sm La Y
6 3 1 2
direct
0.9168 0.5729 0.7504
0.0832 0.4271 0.2496
0.5729 0.9168 0.7504
0.7370 0.7370 0.2438
0.2630 0.2630 0.7562
0.4271 0.0832 0.2496
0.5000 0.5000 0.5000
0.8387 0.1613 0.5000
0.1613 0.8387 0.5000
0.0000 0.0000 0.0000
0.3328 0.6672 0.0000
0.6672 0.3328 0.0000

***

Record 17
La2SmYSe6, optimized geometry, DFT PBE; total DFT energy (no corrections) = -61.13 eV/cell; volume = 318 Å³ per cell; density of states at the Fermi level = 0.000 states/eV/cell
1.0
-2.2120 0.4260 7.1365
-2.8245 -6.0342 3.4078
4.3311 -3.5724 5.4783
Se La Y Sm
6 2 1 1
direct
0.6996 0.1098 0.7582
0.6025 0.2020 0.2561
0.4323 0.6996 0.7582
0.9394 0.6025 0.2562
0.1098 0.4325 0.7583
0.2019 0.9393 0.2561
0.0205 0.0206 0.9384
0.5218 0.5218 0.4346
0.3177 0.3176 0.0470
0.8159 0.8160 0.5521

***

Record 18
LaSm2Y3Se6, optimized geometry, DFT PBE; total DFT energy (no corrections) = -76.57 eV/cell; volume = 304 Å³ per cell; density of states at the Fermi level = 6.072 states/eV/cell
1.0
-0.0736 -4.1471 -5.8548
4.7814 -1.1908 5.2156
-5.9745 -2.4520 3.2750
Se Y Sm La
6 3 2 1
direct
0.7478 0.7478 0.2595
0.9123 0.5740 0.7379
0.2522 0.2522 0.7405
0.0877 0.4260 0.2621
0.4260 0.0877 0.2621
0.5740 0.9123 0.7379
0.1648 0.8352 0.5000
0.5000 0.5000 0.5000
0.8352 0.1648 0.5000
0.3325 0.6675 0.0000
0.6675 0.3325 0.0000
0.0000 0.0000 0.0000

***

Record 19
LaSn6Se8, optimized geometry, DFT PBE; total DFT energy (no corrections) = -65.68 eV/cell; volume = 440 Å³ per cell; density of states at the Fermi level = 5.234 states/eV/cell
1.0
-4.5688 0.3729 0.2012
-0.7716 -4.2848 -9.5826
-0.1259 -6.1502 8.5406
Se Sn La
8 6 1
direct
0.7709 0.2832 0.0315
0.2291 0.0315 0.7484
0.2291 0.2516 0.2832
0.7709 0.7484 0.7168
0.7216 0.3333 0.6667
0.2291 0.7168 0.9685
0.2784 0.6667 0.3333
0.7709 0.9685 0.2516
0.6726 0.4498 0.3275
0.6726 0.8776 0.5502
0.3274 0.5502 0.6725
0.6726 0.6725 0.1224
0.3274 0.1224 0.4498
0.3274 0.3275 0.8776
0.5000 0.0000 0.0000

***

Record 20
LaSnSe4, optimized geometry, DFT PBE; total DFT energy (no corrections) = -56.61 eV/cell; volume = 364 Å³ per cell; density of states at the Fermi level = 4.547 states/eV/cell
1.0
-6.9233 -0.9622 -2.3223
2.3484 -5.7381 -4.6238
1.2858 -0.8379 8.1943
Se La Sn
8 2 2
direct
0.8520 0.3391 0.6856
0.1480 0.6609 0.3144
0.1664 0.1609 0.3144
0.3750 0.0809 0.8571
0.8336 0.8391 0.6856
0.5178 0.4191 0.1429
0.6250 0.9191 0.1429
0.4822 0.5809 0.8571
0.1668 0.7500 0.0000
0.8332 0.2500 0.0000
0.0000 0.0000 0.5000
0.5000 0.5000 0.5000